[1]
Below is a geometry-optimized TbPm8Er6 structure, with properties calculated at the GGA-PBE level.

Unit cell a=9.3990 b=9.3990 c=6.5108 alpha=90.00 beta=90.00 gamma=120.00
Closest atoms and distances in Å follow each position.
Element x y z (fractional)
Tb: 0.0000 0.0000 0.0000  6 Pm 3.33
Pm: 0.0375 0.2864 0.3319  3 Pm 3.26-3.35, 4 Er 3.31-3.55, 1 Tb 3.33
Pm: 0.2488 0.9625 0.3319  3 Pm 3.26-3.35, 4 Er 3.31-3.55, 1 Tb 3.33
Pm: 0.2864 0.2488 0.6681  3 Pm 3.26-3.35, 4 Er 3.31-3.55, 1 Tb 3.33
Pm: 0.3333 0.6667 0.3773  3 Pm 3.26
Pm: 0.6667 0.3333 0.6227  3 Pm 3.26
Pm: 0.7136 0.7512 0.3319  3 Pm 3.26-3.35, 4 Er 3.31-3.55, 1 Tb 3.33
Pm: 0.7512 0.0375 0.6681  3 Pm 3.26-3.35, 4 Er 3.31-3.55, 1 Tb 3.33
Pm: 0.9625 0.7136 0.6681  3 Pm 3.26-3.35, 4 Er 3.31-3.55, 1 Tb 3.33
Er: 0.0949 0.4399 0.8398  1 Er 3.29, 4 Pm 3.31-3.55
Er: 0.3450 0.9051 0.8398  1 Er 3.29, 4 Pm 3.31-3.55
Er: 0.4399 0.3450 0.1602  1 Er 3.29, 4 Pm 3.31-3.55
Er: 0.5601 0.6550 0.8398  1 Er 3.29, 4 Pm 3.31-3.55
Er: 0.6550 0.0949 0.1602  1 Er 3.29, 4 Pm 3.31-3.55
Er: 0.9051 0.5601 0.1602  1 Er 3.29, 4 Pm 3.31-3.55

* space group: P-3, No. 147
* calculated formation energy: 0.179 eV/atom

=====

[2]
Below is a geometry-optimized Tb2Pm4Er3 structure, with properties calculated at the GGA-PBE level.

Unit cell a=9.7753 b=9.7753 c=7.0542 alpha=90.02 beta=90.02 gamma=60.15
Closest atoms and distances in Å follow each position.
Element x y z (fractional)
Tb: 0.0299 0.6511 0.0004  1 Tb 3.28, 4 Pm 3.29-3.56, 2 Er 3.52
Tb: 0.3489 0.9701 0.4996  1 Tb 3.28, 4 Pm 3.29-3.56, 2 Er 3.52
Tb: 0.6511 0.0299 0.5004  1 Tb 3.28, 4 Pm 3.29-3.56, 2 Er 3.52
Tb: 0.9701 0.3489 0.9996  1 Tb 3.28, 4 Pm 3.29-3.56, 2 Er 3.52
Pm: 0.0284 0.3196 0.5000  2 Pm 3.25-3.29, 3 Tb 3.29-3.56, 2 Er 3.48-3.49
Pm: 0.3186 0.6484 0.4997  4 Pm 3.25-3.58, 1 Tb 3.30, 2 Er 3.53
Pm: 0.3196 0.0284 0.0000  2 Pm 3.25-3.29, 3 Tb 3.29-3.56, 2 Er 3.48-3.49
Pm: 0.3516 0.6814 0.0003  4 Pm 3.25-3.58, 1 Tb 3.30, 2 Er 3.53
Pm: 0.6484 0.3186 0.9997  4 Pm 3.25-3.58, 1 Tb 3.30, 2 Er 3.53
Pm: 0.6804 0.9716 0.0000  2 Pm 3.25-3.29, 3 Tb 3.29-3.56, 2 Er 3.48-3.49
Pm: 0.6814 0.3516 0.5003  4 Pm 3.25-3.58, 1 Tb 3.30, 2 Er 3.53
Pm: 0.9716 0.6804 0.5000  2 Pm 3.25-3.29, 3 Tb 3.29-3.56, 2 Er 3.48-3.49
Er: 0.0006 0.9994 0.7500  2 Er 3.53, 8 Pm 3.71-3.74, 4 Tb 3.72
Er: 0.3300 0.3307 0.7501  6 Pm 3.48-3.90, 4 Tb 3.52-3.86, 2 Er 3.53
Er: 0.3307 0.3300 0.2501  6 Pm 3.48-3.90, 4 Tb 3.52-3.86, 2 Er 3.53
Er: 0.6693 0.6700 0.7499  6 Pm 3.48-3.90, 4 Tb 3.52-3.86, 2 Er 3.53
Er: 0.6700 0.6693 0.2499  6 Pm 3.48-3.90, 4 Tb 3.52-3.86, 2 Er 3.53
Er: 0.9994 0.0006 0.2500  2 Er 3.53, 8 Pm 3.71-3.74, 4 Tb 3.72

* space group: C2/c, No. 15
* calculated formation energy: 0.046 eV/atom

=====

[3]
Below is a geometry-optimized Tb2PmEr structure, with properties calculated at the GGA-PBE level.

Unit cell a=6.1719 b=6.1719 c=6.1719 alpha=131.67 beta=131.67 gamma=70.76
Closest atoms and distances in Å follow each position.
Element x y z (fractional)
Tb: 0.0000 0.0000 0.0000  4 Tb 3.57, 4 Pm 3.57, 4 Er 3.57
Tb: 0.7500 0.2500 0.5000  4 Tb 3.57, 4 Er 3.57, 4 Pm 3.57
Pm: 0.2500 0.7500 0.5000  8 Tb 3.57, 4 Er 3.57
Er: 0.5000 0.5000 0.0000  8 Tb 3.57, 4 Pm 3.57

* space group: I-4m2, No. 119
* calculated formation energy: 0.018 eV/atom

=====

[4]
Below is a geometry-optimized Tb6PmEr6 structure, with properties calculated at the GGA-PBE level.

Unit cell a=6.6322 b=6.6322 c=11.3581 alpha=90.00 beta=90.00 gamma=120.00
Closest atoms and distances in Å follow each position.
Element x y z (fractional)
Tb: 0.0000 0.0000 0.1529  1 Tb 3.47, 6 Er 3.52
Tb: 0.0000 0.0000 0.8471  1 Tb 3.47, 6 Er 3.52
Tb: 0.3333 0.6667 0.0000  6 Er 3.48, 3 Tb 3.83
Tb: 0.3333 0.6667 0.5000  6 Er 3.37
Tb: 0.6667 0.3333 0.0000  6 Er 3.48, 3 Tb 3.83
Tb: 0.6667 0.3333 0.5000  6 Er 3.37
Pm: 0.0000 0.0000 0.5000  8 Tb 3.83-3.94
Er: 0.0000 0.5000 0.2555  4 Er 3.32, 6 Tb 3.37-3.52
Er: 0.0000 0.5000 0.7445  4 Er 3.32, 6 Tb 3.37-3.52
Er: 0.5000 0.0000 0.2555  4 Er 3.32, 6 Tb 3.37-3.52
Er: 0.5000 0.0000 0.7445  4 Er 3.32, 6 Tb 3.37-3.52
Er: 0.5000 0.5000 0.2555  4 Er 3.32, 6 Tb 3.37-3.52
Er: 0.5000 0.5000 0.7445  4 Er 3.32, 6 Tb 3.37-3.52

* space group: P6/mmm, No. 191
* calculated formation energy: 0.274 eV/atom

=====

[5]
Below is a geometry-optimized Tb2Pm8Er3 structure, with properties calculated at the GGA-PBE level.

Unit cell a=6.2453 b=8.0534 c=9.5239 alpha=65.07 beta=83.74 gamma=82.59
Closest atoms and distances in Å follow each position.
Element x y z (fractional)
Tb: 0.1157 0.2693 0.0395  10 Pm 3.59-3.62, 1 Er 3.60, 1 Tb 3.60
Tb: 0.8843 0.7307 0.9605  10 Pm 3.59-3.62, 1 Er 3.60, 1 Tb 3.60
Pm: 0.0372 0.4210 0.3473  4 Er 3.58-3.61, 6 Pm 3.58-3.62, 2 Tb 3.59-3.62
Pm: 0.1939 0.1153 0.7291  4 Er 3.58-3.60, 6 Pm 3.58-3.62, 2 Tb 3.61-3.62
Pm: 0.3446 0.8083 0.1168  2 Er 3.59-3.60, 3 Tb 3.60-3.62, 7 Pm 3.60-3.62
Pm: 0.4238 0.6550 0.8064  3 Er 3.59-3.60, 6 Pm 3.59-3.62, 3 Tb 3.60-3.62
Pm: 0.5762 0.3450 0.1936  3 Er 3.59-3.60, 6 Pm 3.59-3.62, 3 Tb 3.60-3.62
Pm: 0.6554 0.1917 0.8832  2 Er 3.59-3.60, 3 Tb 3.60-3.62, 7 Pm 3.60-3.62
Pm: 0.8061 0.8847 0.2709  4 Er 3.58-3.60, 6 Pm 3.58-3.62, 2 Tb 3.61-3.62
Pm: 0.9628 0.5790 0.6527  4 Er 3.58-3.61, 6 Pm 3.58-3.62, 2 Tb 3.59-3.62
Er: 0.2687 0.9612 0.4235  8 Pm 3.58-3.60, 3 Er 3.60-3.61, 1 Tb 3.60
Er: 0.5000 0.5000 0.5000  10 Pm 3.59-3.61, 2 Er 3.60
Er: 0.7313 0.0388 0.5765  8 Pm 3.58-3.60, 3 Er 3.60-3.61, 1 Tb 3.60

* space group: P-1, No. 2
* calculated formation energy: 0.015 eV/atom

=====

[6]
Below is a geometry-optimized Tb5Pm4Er structure, with properties calculated at the GGA-PBE level.

Unit cell a=8.8105 b=8.8105 c=11.1588 alpha=90.10 beta=90.10 gamma=23.21
Closest atoms and distances in Å follow each position.
Element x y z (fractional)
Tb: 0.0000 0.0000 0.0000  4 Pm 3.35, 6 Tb 3.54
Tb: 0.3261 0.3261 0.0539  2 Pm 3.32-3.68, 6 Tb 3.39-3.54
Tb: 0.3268 0.3268 0.4479  2 Pm 3.32-3.70, 4 Tb 3.39-3.54, 2 Er 3.52
Tb: 0.6732 0.6732 0.5521  2 Pm 3.32-3.70, 4 Tb 3.39-3.54, 2 Er 3.52
Tb: 0.6739 0.6739 0.9461  2 Pm 3.32-3.68, 6 Tb 3.39-3.54
Pm: 0.1550 0.1550 0.2498  4 Pm 3.54-3.65, 7 Tb 3.68-3.86, 1 Er 3.87
Pm: 0.4702 0.4702 0.2508  4 Tb 3.32-3.35, 2 Er 3.34, 4 Pm 3.54-3.65
Pm: 0.5298 0.5298 0.7492  4 Tb 3.32-3.35, 2 Er 3.34, 4 Pm 3.54-3.65
Pm: 0.8450 0.8450 0.7502  4 Pm 3.54-3.65, 7 Tb 3.68-3.86, 1 Er 3.87
Er: 0.0000 0.0000 0.5000  4 Pm 3.34, 4 Tb 3.52, 2 Er 3.54

* space group: C2/m, No. 12
* calculated formation energy: 0.183 eV/atom

=====

[7]
Below is a geometry-optimized Tb3Pm3Er structure, with properties calculated at the GGA-PBE level.

Unit cell a=9.6346 b=9.6346 c=5.7578 alpha=90.00 beta=90.00 gamma=120.00
Closest atoms and distances in Å follow each position.
Element x y z (fractional)
Tb: 0.0947 0.6171 0.2500  4 Tb 3.55-3.64, 5 Pm 3.56-3.66, 3 Er 3.56-3.63
Tb: 0.3829 0.4776 0.2500  4 Tb 3.55-3.64, 5 Pm 3.56-3.66, 3 Er 3.56-3.63
Tb: 0.4776 0.0947 0.7500  4 Tb 3.55-3.64, 5 Pm 3.56-3.66, 3 Er 3.56-3.63
Tb: 0.5224 0.9053 0.2500  4 Tb 3.55-3.64, 5 Pm 3.56-3.66, 3 Er 3.56-3.63
Tb: 0.6171 0.5224 0.7500  4 Tb 3.55-3.64, 5 Pm 3.56-3.66, 3 Er 3.56-3.63
Tb: 0.9053 0.3829 0.7500  4 Tb 3.55-3.64, 5 Pm 3.56-3.66, 3 Er 3.56-3.63
Pm: 0.0478 0.8066 0.7500  5 Tb 3.56-3.66, 6 Pm 3.58-3.69, 1 Er 3.62
Pm: 0.1934 0.2412 0.7500  5 Tb 3.56-3.66, 6 Pm 3.58-3.69, 1 Er 3.62
Pm: 0.2412 0.0478 0.2500  5 Tb 3.56-3.66, 6 Pm 3.58-3.69, 1 Er 3.62
Pm: 0.7588 0.9522 0.7500  5 Tb 3.56-3.66, 6 Pm 3.58-3.69, 1 Er 3.62
Pm: 0.8066 0.7588 0.2500  5 Tb 3.56-3.66, 6 Pm 3.58-3.69, 1 Er 3.62
Pm: 0.9522 0.1934 0.2500  5 Tb 3.56-3.66, 6 Pm 3.58-3.69, 1 Er 3.62
Er: 0.3333 0.6667 0.7500  9 Tb 3.56-3.63, 3 Pm 3.62
Er: 0.6667 0.3333 0.2500  9 Tb 3.56-3.63, 3 Pm 3.62

* space group: P6_3/m, No. 176
* calculated formation energy: 0.019 eV/atom

=====

[8]
Below is a geometry-optimized Tb3Pm6Er2 structure, with properties calculated at the GGA-PBE level.

Unit cell a=32.2795 b=32.2795 c=32.2795 alpha=6.39 beta=6.39 gamma=6.39
Closest atoms and distances in Å follow each position.
Element x y z (fractional)
Tb: 0.0000 0.0000 0.0000  6 Pm 3.60, 6 Tb 3.60
Tb: 0.2726 0.2726 0.2726  6 Pm 3.60, 6 Tb 3.60
Tb: 0.7274 0.7274 0.7274  6 Pm 3.60, 6 Tb 3.60
Pm: 0.0912 0.0912 0.0912  3 Er 3.56, 3 Tb 3.60, 6 Pm 3.60
Pm: 0.1822 0.1822 0.1822  3 Er 3.57, 9 Pm 3.60-3.65
Pm: 0.3637 0.3637 0.3637  6 Tb 3.60, 6 Pm 3.60
Pm: 0.6363 0.6363 0.6363  6 Tb 3.60, 6 Pm 3.60
Pm: 0.8178 0.8178 0.8178  3 Er 3.57, 9 Pm 3.60-3.65
Pm: 0.9088 0.9088 0.9088  3 Er 3.56, 3 Tb 3.60, 6 Pm 3.60
Er: 0.4545 0.4545 0.4545  6 Pm 3.56-3.57, 6 Er 3.60
Er: 0.5455 0.5455 0.5455  6 Pm 3.56-3.57, 6 Er 3.60

* space group: R-3m, No. 166
* calculated formation energy: 0.014 eV/atom

=====

[9]
Below is a geometry-optimized TbPmEr2Te6 structure, with properties calculated at the GGA-PBE level.

Unit cell a=8.3234 b=8.3234 c=8.3234 alpha=55.32 beta=55.32 gamma=55.32
Closest atoms and distances in Å follow each position.
Element x y z (fractional)
Tb: 0.0000 0.0000 0.0000  6 Te 3.08-3.12
Pm: 0.5019 0.5019 0.5019  6 Te 3.13-3.19
Er: 0.3146 0.3146 0.3146  6 Te 3.04-3.08
Er: 0.8132 0.8132 0.8132  6 Te 3.05-3.08
Te: 0.0853 0.4126 0.7154  2 Er 3.05-3.08, 1 Tb 3.08, 1 Pm 3.19
Te: 0.2072 0.9208 0.5876  2 Er 3.04-3.08, 1 Tb 3.12, 1 Pm 3.13
Te: 0.4126 0.7154 0.0853  2 Er 3.05-3.08, 1 Tb 3.08, 1 Pm 3.19
Te: 0.5876 0.2072 0.9208  2 Er 3.04-3.08, 1 Tb 3.12, 1 Pm 3.13
Te: 0.7154 0.0853 0.4126  2 Er 3.05-3.08, 1 Tb 3.08, 1 Pm 3.19
Te: 0.9208 0.5876 0.2072  2 Er 3.04-3.08, 1 Tb 3.12, 1 Pm 3.13

* space group: R3, No. 146
* energy: -50.9 eV per cell

=====

[10]
Below is a geometry-optimized TbPm2ErTe5 structure, with properties calculated at the GGA-PBE level.

Unit cell a=5.5632 b=5.5632 c=11.5266 alpha=90.00 beta=90.00 gamma=90.00
Closest atoms and distances in Å follow each position.
Element x y z (fractional)
Tb: 0.0000 0.0000 0.0000  6 Te 2.78-2.95
Pm: 0.5000 0.5000 0.1593  4 Te 3.33, 1 Pm 3.67
Pm: 0.5000 0.5000 0.8407  4 Te 3.33, 1 Pm 3.67
Er: 0.0000 0.0000 0.5000  2 Te 2.81
Te: 0.0000 0.0000 0.2560  1 Er 2.81, 1 Tb 2.95
Te: 0.0000 0.0000 0.7440  1 Er 2.81, 1 Tb 2.95
Te: 0.0000 0.5000 0.0000  2 Tb 2.78
Te: 0.5000 0.0000 0.0000  2 Tb 2.78
Te: 0.5000 0.5000 0.5000  2 Pm 3.93, 4 Er 3.93

* space group: P4/mmm, No. 123
* energy: -41.1 eV per cell

=====

no.,total moment (μB per formula unit)
1,0.0
2,0.0
3,0.0
4,3.4
5,0.0
6,0.0
7,0.0
8,0.0
9,0.0
10,0.6